(1)
The following is a meta-GGA SCAN calculation of AlP2 at its PBEsol-relaxed geometry, from the Alexandria database.

Calculated volume, Å³ per cell: 46.8
Energy of formation from the pure elements, eV/atom: 0.087
Total magnetic moment, Bohr magnetons per cell: 0.0

The structure in CIF format:
```
data_AlP2
_chemical_formula_sum 'Al1 P2'
_cell_length_a 3.3974
_cell_length_b 3.3974
_cell_length_c 4.6851
_cell_angle_alpha 90.00
_cell_angle_beta 90.00
_cell_angle_gamma 120.00
_symmetry_space_group_name_H-M 'P -3 m 1'
_symmetry_Int_Tables_number 164
_symmetry_space_group_name_Hall '-P 3 2"'
loop_
_atom_site_label
_atom_site_type_symbol
_atom_site_fract_x
_atom_site_fract_y
_atom_site_fract_z
_atom_site_occupancy
Al1 Al 0.0000 0.0000 0.0000 1
P1 P 0.3333 0.6667 0.6546 1
```

(2)
The following is a meta-GGA SCAN calculation of BiSbPt2 at its PBEsol-relaxed geometry, from the Alexandria database.

Calculated volume, Å³ per cell: 86.3
Energy relative to the elements, uncorrected, meV/atom: -370
Total magnetic moment, Bohr magnetons per cell: 0.0

The structure in CIF format:
```
data_BiSbPt2
_chemical_formula_sum 'Bi1 Sb1 Pt2'
_cell_length_a 4.2634
_cell_length_b 4.2634
_cell_length_c 5.4828
_cell_angle_alpha 90.00
_cell_angle_beta 90.00
_cell_angle_gamma 120.00
_symmetry_space_group_name_H-M 'P -6 m 2'
_symmetry_Int_Tables_number 187
_symmetry_space_group_name_Hall 'P -6 2'
loop_
_atom_site_label
_atom_site_type_symbol
_atom_site_fract_x
_atom_site_fract_y
_atom_site_fract_z
_atom_site_occupancy
Bi1 Bi 0.0000 0.0000 0.0000 1
Sb1 Sb 0.6667 0.3333 0.5000 1
Pt1 Pt 0.3333 0.6667 0.2548 1
```

(3)
The following is a meta-GGA SCAN calculation of ZnBS2 at its PBEsol-relaxed geometry, from the Alexandria database.

Calculated volume, Å³ per cell: 232.6
Energy relative to the elements, uncorrected, meV/atom: -116
Total magnetic moment, Bohr magnetons per cell: 0.0

The structure in CIF format:
```
data_ZnBS2
_chemical_formula_sum 'Zn4 B4 S8'
_cell_length_a 5.6083
_cell_length_b 5.6083
_cell_length_c 7.3964
_cell_angle_alpha 90.00
_cell_angle_beta 90.00
_cell_angle_gamma 90.00
_symmetry_space_group_name_H-M 'I -4 2 d'
_symmetry_Int_Tables_number 122
_symmetry_space_group_name_Hall 'I -4 2bw'
loop_
_atom_site_label
_atom_site_type_symbol
_atom_site_fract_x
_atom_site_fract_y
_atom_site_fract_z
_atom_site_occupancy
Zn1 Zn 0.0000 0.0000 0.0000 1
B1 B 0.0000 0.0000 0.5000 1
S1 S 0.1734 0.2500 0.6250 1
```

(4)
The following is a meta-GGA SCAN calculation of LaY2Sc at its PBEsol-relaxed geometry, from the Alexandria database.

Calculated volume, Å³ per cell: 118.2
Energy of formation from the pure elements, eV/atom: 0.072
Total magnetic moment, Bohr magnetons per cell: 0.0

The structure in CIF format:
```
data_LaY2Sc
_chemical_formula_sum 'La1 Y2 Sc1'
_cell_length_a 3.5232
_cell_length_b 4.7805
_cell_length_c 7.0175
_cell_angle_alpha 90.00
_cell_angle_beta 90.00
_cell_angle_gamma 90.00
_symmetry_space_group_name_H-M 'P m m 2'
_symmetry_Int_Tables_number 25
_symmetry_space_group_name_Hall 'P 2 -2'
loop_
_atom_site_label
_atom_site_type_symbol
_atom_site_fract_x
_atom_site_fract_y
_atom_site_fract_z
_atom_site_occupancy
La1 La 0.0000 0.0000 0.0000 1
Y1 Y 0.0000 0.0000 0.4832 1
Y2 Y 0.5000 0.5000 0.7377 1
Sc1 Sc 0.5000 0.5000 0.2481 1
```

(5)
The following is a meta-GGA SCAN calculation of LaYZr2 at its PBEsol-relaxed geometry, from the Alexandria database.

Calculated volume, Å³ per cell: 209.7
Energy of formation from the pure elements, eV/atom: 0.204
Total magnetic moment, Bohr magnetons per cell: 0.0

The structure in CIF format:
```
data_LaYZr2
_chemical_formula_sum 'La2 Y2 Zr4'
_cell_length_a 11.0472
_cell_length_b 3.3021
_cell_length_c 5.8166
_cell_angle_alpha 90.00
_cell_angle_beta 98.69
_cell_angle_gamma 90.00
_symmetry_space_group_name_H-M 'C 1 2/m 1'
_symmetry_Int_Tables_number 12
_symmetry_space_group_name_Hall '-C 2y'
loop_
_atom_site_label
_atom_site_type_symbol
_atom_site_fract_x
_atom_site_fract_y
_atom_site_fract_z
_atom_site_occupancy
La1 La 0.0000 0.0000 0.0000 1
Y1 Y 0.0000 0.5000 0.5000 1
Zr1 Zr 0.2486 0.0000 0.7352 1
```

(6)
The following is a meta-GGA SCAN calculation of TcHRu3 at its PBEsol-relaxed geometry, from the Alexandria database.

Calculated volume, Å³ per cell: 56.0
Raw total energy, eV/cell: -142.5
Total magnetic moment, Bohr magnetons per cell: 0.0

The structure in CIF format:
```
data_TcHRu3
_chemical_formula_sum 'Tc1 H1 Ru3'
_cell_length_a 3.8248
_cell_length_b 3.8248
_cell_length_c 3.8248
_cell_angle_alpha 90.00
_cell_angle_beta 90.00
_cell_angle_gamma 90.00
_symmetry_space_group_name_H-M 'P m -3 m'
_symmetry_Int_Tables_number 221
_symmetry_space_group_name_Hall '-P 4 2 3'
loop_
_atom_site_label
_atom_site_type_symbol
_atom_site_fract_x
_atom_site_fract_y
_atom_site_fract_z
_atom_site_occupancy
Tc1 Tc 0.0000 0.0000 0.0000 1
H1 H 0.5000 0.5000 0.5000 1
Ru1 Ru 0.0000 0.5000 0.5000 1
```

(7)
The following is a meta-GGA SCAN calculation of Bi2TeSe2 at its PBEsol-relaxed geometry, from the Alexandria database.

Calculated volume, Å³ per cell: 448.4
Energy relative to the elements, uncorrected, meV/atom: -240
Total magnetic moment, Bohr magnetons per cell: 0.0

The structure in CIF format:
```
data_Bi2TeSe2
_chemical_formula_sum 'Bi6 Te3 Se6'
_cell_length_a 4.2214
_cell_length_b 4.2214
_cell_length_c 29.0524
_cell_angle_alpha 90.00
_cell_angle_beta 90.00
_cell_angle_gamma 120.00
_symmetry_space_group_name_H-M 'R -3 m'
_symmetry_Int_Tables_number 166
_symmetry_space_group_name_Hall '-R 3 2"'
loop_
_atom_site_label
_atom_site_type_symbol
_atom_site_fract_x
_atom_site_fract_y
_atom_site_fract_z
_atom_site_occupancy
Bi1 Bi 0.0000 0.0000 0.0944 1
Te1 Te 0.0000 0.0000 0.5000 1
Se1 Se 0.0000 0.0000 0.2912 1
```

(8)
The following is a meta-GGA SCAN calculation of CoNiPb at its PBEsol-relaxed geometry, from the Alexandria database.

Calculated volume, Å³ per cell: 45.5
Energy of formation from the pure elements, eV/atom: 0.586
Total magnetic moment, Bohr magnetons per cell: 2.0

The structure in CIF format:
```
data_CoNiPb
_chemical_formula_sum 'Co1 Ni1 Pb1'
_cell_length_a 3.9934
_cell_length_b 3.9934
_cell_length_c 3.2924
_cell_angle_alpha 90.00
_cell_angle_beta 90.00
_cell_angle_gamma 120.00
_symmetry_space_group_name_H-M 'P 3 m 1'
_symmetry_Int_Tables_number 156
_symmetry_space_group_name_Hall 'P 3 -2"'
loop_
_atom_site_label
_atom_site_type_symbol
_atom_site_fract_x
_atom_site_fract_y
_atom_site_fract_z
_atom_site_occupancy
Co1 Co 0.0000 0.0000 0.0000 1
Ni1 Ni 0.3333 0.6667 0.1266 1
Pb1 Pb 0.6667 0.3333 0.5591 1
```

(9)
The following is a meta-GGA SCAN calculation of Si2RuPt at its PBEsol-relaxed geometry, from the Alexandria database.

Calculated volume, Å³ per cell: 54.0
Energy relative to the elements, uncorrected, meV/atom: -558
Total magnetic moment, Bohr magnetons per cell: 0.0

The structure in CIF format:
```
data_Si2RuPt
_chemical_formula_sum 'Si2 Ru1 Pt1'
_cell_length_a 2.9514
_cell_length_b 4.4408
_cell_length_c 4.1192
_cell_angle_alpha 90.00
_cell_angle_beta 90.00
_cell_angle_gamma 90.00
_symmetry_space_group_name_H-M 'P m m 2'
_symmetry_Int_Tables_number 25
_symmetry_space_group_name_Hall 'P 2 -2'
loop_
_atom_site_label
_atom_site_type_symbol
_atom_site_fract_x
_atom_site_fract_y
_atom_site_fract_z
_atom_site_occupancy
Si1 Si 0.0000 0.0000 0.0000 1
Si2 Si 0.5000 0.5000 0.2155 1
Ru1 Ru 0.5000 0.0000 0.4758 1
Pt1 Pt 0.0000 0.5000 0.7339 1
```

(10)
The following is a meta-GGA SCAN calculation of InCoIN2 at its PBEsol-relaxed geometry, from the Alexandria database.

Calculated volume, Å³ per cell: 104.8
Energy relative to the elements, uncorrected, meV/atom: 1493
Total magnetic moment, Bohr magnetons per cell: 5.0

The structure in CIF format:
```
data_InCoIN2
_chemical_formula_sum 'In1 Co1 I1 N2'
_cell_length_a 4.0793
_cell_length_b 4.0793
_cell_length_c 6.2988
_cell_angle_alpha 90.00
_cell_angle_beta 90.00
_cell_angle_gamma 90.00
_symmetry_space_group_name_H-M 'P 4/m m m'
_symmetry_Int_Tables_number 123
_symmetry_space_group_name_Hall '-P 4 2'
loop_
_atom_site_label
_atom_site_type_symbol
_atom_site_fract_x
_atom_site_fract_y
_atom_site_fract_z
_atom_site_occupancy
In1 In 0.0000 0.0000 0.0000 1
Co1 Co 0.5000 0.5000 0.5000 1
I1 I 0.0000 0.0000 0.5000 1
N1 N 0.0000 0.5000 0.0000 1
```

(11)
The following is a meta-GGA SCAN calculation of Ba2PrSbO6 at its PBEsol-relaxed geometry, from the Alexandria database.

Calculated volume, Å³ per cell: 638.2
Energy relative to the elements, uncorrected, meV/atom: -2843
Total magnetic moment, Bohr magnetons per cell: 0.0

The structure in CIF format:
```
data_Ba2PrSbO6
_chemical_formula_sum 'Ba8 Pr4 Sb4 O24'
_cell_length_a 8.6095
_cell_length_b 8.6095
_cell_length_c 8.6095
_cell_angle_alpha 90.00
_cell_angle_beta 90.00
_cell_angle_gamma 90.00
_symmetry_space_group_name_H-M 'F m -3 m'
_symmetry_Int_Tables_number 225
_symmetry_space_group_name_Hall '-F 4 2 3'
loop_
_atom_site_label
_atom_site_type_symbol
_atom_site_fract_x
_atom_site_fract_y
_atom_site_fract_z
_atom_site_occupancy
Ba1 Ba 0.2500 0.2500 0.2500 1
Pr1 Pr 0.0000 0.0000 0.0000 1
Sb1 Sb 0.0000 0.0000 0.5000 1
O1 O 0.0000 0.0000 0.2682 1
```

(12)
The following is a meta-GGA SCAN calculation of TlAu at its PBEsol-relaxed geometry, from the Alexandria database.

Calculated volume, Å³ per cell: 89.7
Energy of formation from the pure elements, eV/atom: 0.048
Total magnetic moment, Bohr magnetons per cell: 0.0

The structure in CIF format:
```
data_TlAu
_chemical_formula_sum 'Tl2 Au2'
_cell_length_a 4.5732
_cell_length_b 3.4779
_cell_length_c 5.6384
_cell_angle_alpha 90.00
_cell_angle_beta 90.00
_cell_angle_gamma 90.00
_symmetry_space_group_name_H-M 'P m m a'
_symmetry_Int_Tables_number 51
_symmetry_space_group_name_Hall '-P 2a 2a'
loop_
_atom_site_label
_atom_site_type_symbol
_atom_site_fract_x
_atom_site_fract_y
_atom_site_fract_z
_atom_site_occupancy
Tl1 Tl 0.2500 0.0000 0.1975 1
Au1 Au 0.2500 0.5000 0.6539 1
```